1.
RbHo2ReO8 | PBE | optimized geometry

Calculated values
The value obtained for the formation energy without anion corrections is -2.2657 eV per atom. The total energy is -7.452 eV per atom. Its crystal system is triclinic.

a = 5.2213 Å, b = 5.3975 Å, c = 7.1801 Å
α = 83.73°, β = 71.42°, γ = 75.89°
Last column: nearest neighbours and their distance in Å.
Element x y z (fractional)
Rb 0.0000 0.0000 0.0000  6 O 2.75-2.92
Ho 0.3511 0.4421 0.3147  7 O 2.22-2.44
Ho 0.6489 0.5579 0.6853  7 O 2.22-2.44
Re 0.0000 0.0000 0.5000  6 O 1.87-1.93
O 0.0679 0.2683 0.6169  1 Re 1.91
O 0.2596 0.0783 0.2659  1 Re 1.87
O 0.2949 0.7442 0.5617  1 Re 1.93
O 0.3553 0.5285 0.9910  1 O 1.51
O 0.6447 0.4715 0.0090  1 O 1.51
O 0.7051 0.2558 0.4383  1 Re 1.93
O 0.7404 0.9217 0.7341  1 Re 1.87
O 0.9321 0.7317 0.3831  1 Re 1.91


2.
RbHoRe2O8 | PBE | optimized geometry

Calculated values
The value obtained for the formation energy without anion corrections is -2.0156 eV per atom. The total energy is -7.858 eV per atom. Its crystal system is trigonal.

a = 6.0249 Å, b = 6.0249 Å, c = 7.9386 Å
α = 90.00°, β = 90.00°, γ = 120.00°
Last column: nearest neighbours and their distance in Å.
Element x y z (fractional)
Rb 0.0000 0.0000 0.0000  12 O 3.15-3.49
Ho 0.0000 0.0000 0.5000  6 O 2.24
Re 0.3333 0.6667 0.7491  4 O 1.76-1.81
Re 0.6667 0.3333 0.2509  4 O 1.76-1.81
O 0.1687 0.3404 0.6715  1 Re 1.81
O 0.1716 0.8313 0.6715  1 Re 1.81
O 0.3333 0.6667 0.9714  1 Re 1.76
O 0.3404 0.1716 0.3285  1 Re 1.81
O 0.6596 0.8284 0.6715  1 Re 1.81
O 0.6667 0.3333 0.0286  1 Re 1.76
O 0.8284 0.1687 0.3285  1 Re 1.81
O 0.8313 0.6596 0.3285  1 Re 1.81


3.
Rb2HoRhO4 | PBE | optimized geometry

Calculated values
The value obtained for the formation energy without anion corrections is -1.7681 eV per atom. The total energy is -5.980 eV per atom. Its crystal system is monoclinic.

a = 5.6811 Å, b = 3.4053 Å, c = 6.7386 Å
α = 90.00°, β = 107.50°, γ = 90.00°
Last column: nearest neighbours and their distance in Å.
Element x y z (fractional)
Rb 0.0000 0.0000 0.0000  6 O 2.86-2.91
Rb 0.5000 0.5000 0.0000  6 O 2.81
Ho 0.0000 0.5000 0.5000  6 O 2.27-2.29
Rh 0.5000 0.0000 0.5000  6 O 2.18-2.20
O 0.2350 0.0000 0.6794  1 Rh 2.20, 2 Ho 2.27
O 0.2958 0.5000 0.3317  2 Rh 2.18, 1 Ho 2.29
O 0.7042 0.5000 0.6683  2 Rh 2.18, 1 Ho 2.29
O 0.7650 0.0000 0.3206  1 Rh 2.20, 2 Ho 2.27


4.
Rb3Ho3RhO8 | PBE | optimized geometry

Calculated values
The value obtained for the formation energy without anion corrections is -2.3099 eV per atom. The total energy is -6.553 eV per atom. Its crystal system is trigonal.

a = 7.6521 Å, b = 7.6521 Å, c = 7.6521 Å
α = 52.49°, β = 52.49°, γ = 52.49°
Last column: nearest neighbours and their distance in Å.
Element x y z (fractional)
Rb 0.0000 0.5000 0.5000  6 O 2.90-2.91
Rb 0.5000 0.0000 0.5000  6 O 2.90-2.91
Rb 0.5000 0.5000 0.0000  6 O 2.90-2.91
Ho 0.0000 0.0000 0.5000  6 O 2.26-2.30
Ho 0.0000 0.5000 0.0000  6 O 2.26-2.30
Ho 0.5000 0.0000 0.0000  6 O 2.26-2.30
Rh 0.5000 0.5000 0.5000  6 O 2.12
O 0.2238 0.2238 0.2238  3 Ho 2.26
O 0.2454 0.7099 0.7099  1 Rh 2.12, 2 Ho 2.30
O 0.2901 0.2901 0.7546  1 Rh 2.12, 2 Ho 2.30
O 0.2901 0.7546 0.2901  1 Rh 2.12, 2 Ho 2.30
O 0.7099 0.2454 0.7099  1 Rh 2.12, 2 Ho 2.30
O 0.7099 0.7099 0.2454  1 Rh 2.12, 2 Ho 2.30
O 0.7546 0.2901 0.2901  1 Rh 2.12, 2 Ho 2.30
O 0.7762 0.7762 0.7762  3 Ho 2.26


What did the first record say?
RbHo2ReO8 | PBE | optimized geometry

Calculated values
The value obtained for the formation energy without anion corrections is -2.2657 eV per atom. The total energy is -7.452 eV per atom. Its crystal system is triclinic.

a = 5.2213 Å, b = 5.3975 Å, c = 7.1801 Å
α = 83.73°, β = 71.42°, γ = 75.89°
Last column: nearest neighbours and their distance in Å.
Element x y z (fractional)
Rb 0.0000 0.0000 0.0000  6 O 2.75-2.92
Ho 0.3511 0.4421 0.3147  7 O 2.22-2.44
Ho 0.6489 0.5579 0.6853  7 O 2.22-2.44
Re 0.0000 0.0000 0.5000  6 O 1.87-1.93
O 0.0679 0.2683 0.6169  1 Re 1.91
O 0.2596 0.0783 0.2659  1 Re 1.87
O 0.2949 0.7442 0.5617  1 Re 1.93
O 0.3553 0.5285 0.9910  1 O 1.51
O 0.6447 0.4715 0.0090  1 O 1.51
O 0.7051 0.2558 0.4383  1 Re 1.93
O 0.7404 0.9217 0.7341  1 Re 1.87
O 0.9321 0.7317 0.3831  1 Re 1.91